Entry from the Alexandria database: Al2SbAu at its PBEsol-relaxed geometry (meta-GGA SCAN).

a b c (Å): 4.499 4.499 3.801
angles (deg): 90.00 90.00 90.00
Fractional positions:
Al 0.000 0.500 0.000
Al 0.500 0.000 0.000
Sb 0.000 0.000 0.500
Au 0.500 0.500 0.500

Computed properties:
**Energy relative to the elements, uncorrected**: 0.0606 eV per atom
**Space group**: P4/mmm

Entry from the Alexandria database: AlSbAu2 at its PBEsol-relaxed geometry (meta-GGA SCAN).

a b c (Å): 4.869 4.869 4.869
angles (deg): 128.18 112.96 89.53
Fractional positions:
Al 0.000 0.000 0.000
Sb 0.500 0.500 0.000
Au 0.215 0.715 0.500
Au 0.785 0.285 0.500

Computed properties:
**Energy relative to the lowest polymorph listed for this composition**: 0.988 eV per formula unit
**Energy relative to the elements, uncorrected**: -0.0373 eV per atom
**Space group**: Immm

Entry from the Alexandria database: AlSbAu2 at its PBEsol-relaxed geometry (meta-GGA SCAN).

a b c (Å): 4.331 4.331 5.956
angles (deg): 102.44 102.44 45.65
Fractional positions:
Al 0.000 0.000 0.000
Sb 0.500 0.500 0.500
Au 0.262 0.262 0.795
Au 0.738 0.738 0.205

Computed properties:
**Energy relative to the lowest polymorph listed for this composition**: 0.000 eV per formula unit
**Energy relative to the elements, uncorrected**: -0.2842 eV per atom
**Space group**: C2/m

Entry from the Alexandria database: Al2SbAu at its PBEsol-relaxed geometry (meta-GGA SCAN).

a b c (Å): 4.701 4.701 3.570
angles (deg): 90.00 90.00 102.94
Fractional positions:
Al 0.000 0.500 0.000
Al 0.500 0.000 0.000
Sb 0.000 0.000 0.500
Au 0.500 0.500 0.500

Computed properties:
**Energy relative to the elements, uncorrected**: 0.0559 eV per atom
**Space group**: Cmmm

Entry from the Alexandria database: Al2SbAu at its PBEsol-relaxed geometry (meta-GGA SCAN).

a b c (Å): 6.603 6.603 6.603
angles (deg): 121.13 121.13 88.06
Fractional positions:
Al 0.102 0.625 0.977
Al 0.375 0.352 0.477
Al 0.648 0.125 0.023
Al 0.875 0.898 0.523
Sb 0.250 0.750 0.500
Sb 0.500 0.500 0.000
Au 0.000 0.000 0.000
Au 0.750 0.250 0.500

Computed properties:
**Energy relative to the elements, uncorrected**: -0.0610 eV per atom
**Space group**: I-42d

Entry from the Alexandria database: AlSb3Au at its PBEsol-relaxed geometry (meta-GGA SCAN).

a b c (Å): 5.122 5.122 5.122
angles (deg): 90.00 90.00 90.00
Fractional positions:
Al 0.000 0.000 0.000
Sb 0.000 0.000 0.500
Sb 0.000 0.500 0.000
Sb 0.500 0.000 0.000
Au 0.500 0.500 0.500

Computed properties:
**Energy relative to the elements, uncorrected**: 0.7624 eV per atom
**Space group**: Pm-3m

Entry from the Alexandria database: Al3SbAu at its PBEsol-relaxed geometry (meta-GGA SCAN).

a b c (Å): 4.838 4.838 4.838
angles (deg): 90.00 90.00 90.00
Fractional positions:
Al 0.000 0.000 0.500
Al 0.000 0.500 0.000
Al 0.500 0.000 0.000
Sb 0.500 0.500 0.500
Au 0.000 0.000 0.000

Computed properties:
**Energy relative to the elements, uncorrected**: 0.0590 eV per atom
**Space group**: Pm-3m

Entry from the Alexandria database: Al2SbAu at its PBEsol-relaxed geometry (meta-GGA SCAN).

a b c (Å): 3.097 3.097 7.980
angles (deg): 90.00 90.00 90.00
Fractional positions:
Al 0.000 0.000 0.000
Al 0.500 0.500 0.229
Sb 0.500 0.500 0.717
Au 0.000 0.000 0.422

Computed properties:
**Energy relative to the elements, uncorrected**: -0.0209 eV per atom
**Space group**: P4mm

Entry from the Alexandria database: AlSbAu2 at its PBEsol-relaxed geometry (meta-GGA SCAN).

a b c (Å): 4.400 4.400 4.239
angles (deg): 90.00 90.00 98.48
Fractional positions:
Al 0.000 0.000 0.000
Sb 0.500 0.500 0.000
Au 0.218 0.782 0.500
Au 0.782 0.218 0.500

Computed properties:
**Energy relative to the lowest polymorph listed for this composition**: 0.407 eV per formula unit
**Energy relative to the elements, uncorrected**: -0.1826 eV per atom
**Space group**: Cmmm

Entry from the Alexandria database: TaAlSbAu2 at its PBEsol-relaxed geometry (meta-GGA SCAN).

a b c (Å): 5.105 5.105 5.219
angles (deg): 90.00 90.00 90.00
Fractional positions:
Ta 0.000 0.000 0.000
Al 0.500 0.500 0.500
Sb 0.000 0.000 0.500
Au 0.000 0.500 0.000
Au 0.500 0.000 0.000

Computed properties:
**Energy relative to the elements, uncorrected**: 0.7648 eV per atom
**Space group**: P4/mmm

Entry from the Alexandria database: ScAl2Au at its PBEsol-relaxed geometry (meta-GGA SCAN).

a b c (Å): 5.537 5.537 3.101
angles (deg): 106.11 106.11 51.83
Fractional positions:
Sc 0.000 0.000 0.000
Al 0.269 0.269 0.769
Al 0.731 0.731 0.231
Au 0.500 0.500 0.500

Computed properties:
**Energy relative to the elements**: -509 meV per atom
**Space group**: C2/m

Entry from the Alexandria database: Sc2Al2Au at its PBEsol-relaxed geometry (meta-GGA SCAN).

a b c (Å): 6.588 6.588 4.319
angles (deg): 90.00 90.00 90.00
Fractional positions:
Sc 0.167 0.333 0.000
Sc 0.333 0.833 0.000
Sc 0.667 0.167 0.000
Sc 0.833 0.667 0.000
Al 0.137 0.637 0.500
Al 0.363 0.137 0.500
Al 0.637 0.863 0.500
Al 0.863 0.363 0.500
Au 0.000 0.000 0.500
Au 0.500 0.500 0.500

Computed properties:
**Energy relative to the elements**: -750 meV per atom
**Space group**: P4/mbm

What did the first record say?
Entry from the Alexandria database: Al2SbAu at its PBEsol-relaxed geometry (meta-GGA SCAN).

a b c (Å): 4.499 4.499 3.801
angles (deg): 90.00 90.00 90.00
Fractional positions:
Al 0.000 0.500 0.000
Al 0.500 0.000 0.000
Sb 0.000 0.000 0.500
Au 0.500 0.500 0.500

Computed properties:
**Energy relative to the elements, uncorrected**: 0.0606 eV per atom
**Space group**: P4/mmm

Please write out number 5 again, unchanged.
Entry from the Alexandria database: Al2SbAu at its PBEsol-relaxed geometry (meta-GGA SCAN).

a b c (Å): 6.603 6.603 6.603
angles (deg): 121.13 121.13 88.06
Fractional positions:
Al 0.102 0.625 0.977
Al 0.375 0.352 0.477
Al 0.648 0.125 0.023
Al 0.875 0.898 0.523
Sb 0.250 0.750 0.500
Sb 0.500 0.500 0.000
Au 0.000 0.000 0.000
Au 0.750 0.250 0.500

Computed properties:
**Energy relative to the elements, uncorrected**: -0.0610 eV per atom
**Space group**: I-42d